An optimized crystal structure of Ni2BTeW. Source: Alexandria via LeMat-Bulk, functional PBE-GGA.

The structure in CIF format:
```
data_Ni2BTeW
_chemical_formula_sum 'Ni2 B1 Te1 W1'
_cell_length_a 4.0008
_cell_length_b 4.0008
_cell_length_c 4.2853
_cell_angle_alpha 90.00
_cell_angle_beta 90.00
_cell_angle_gamma 90.00
_symmetry_space_group_name_H-M 'P 4/m m m'
_symmetry_Int_Tables_number 123
_symmetry_space_group_name_Hall '-P 4 2'
loop_
_atom_site_label
_atom_site_fract_x
_atom_site_fract_y
_atom_site_fract_z
Ni1 0.0000 0.5000 0.0000
B1 0.0000 0.0000 0.0000
Te1 0.5000 0.5000 0.5000
W1 0.0000 0.0000 0.5000
```

Summary:
Size of the total moment, μB/f.u.: 0.00
E_form (uncorrected), eV/atom: 0.276
Crystal system: tetragonal

An optimized crystal structure of ZrNiBTe2. Source: Alexandria via LeMat-Bulk, functional PBE-GGA.

The structure in CIF format:
```
data_ZrNiBTe2
_chemical_formula_sum 'Zr1 Ni1 B1 Te2'
_cell_length_a 5.5469
_cell_length_b 5.5469
_cell_length_c 4.7531
_cell_angle_alpha 90.00
_cell_angle_beta 90.00
_cell_angle_gamma 90.00
_symmetry_space_group_name_H-M 'P 4/m m m'
_symmetry_Int_Tables_number 123
_symmetry_space_group_name_Hall '-P 4 2'
loop_
_atom_site_label
_atom_site_fract_x
_atom_site_fract_y
_atom_site_fract_z
Zr1 0.0000 0.0000 0.0000
Ni1 0.0000 0.0000 0.5000
B1 0.5000 0.5000 0.5000
Te1 0.0000 0.5000 0.0000
```

Summary:
Size of the total moment, μB/f.u.: 0.21
E_form (uncorrected), eV/atom: 1.239
Crystal system: tetragonal

An optimized crystal structure of ThNiB. Source: Alexandria via LeMat-Bulk, functional PBE-GGA.

The structure in CIF format:
```
data_ThNiB
_chemical_formula_sum 'Th2 Ni2 B2'
_cell_length_a 3.6006
_cell_length_b 3.6006
_cell_length_c 8.7936
_cell_angle_alpha 90.00
_cell_angle_beta 90.00
_cell_angle_gamma 120.00
_symmetry_space_group_name_H-M 'P 3 m 1'
_symmetry_Int_Tables_number 156
loop_
_symmetry_equiv_pos_as_xyz
'x,y,z'
'-y,x-y,z'
'-x+y,-x,z'
'-y,-x,z'
'-x+y,y,z'
'x,x-y,z'
loop_
_atom_site_label
_atom_site_fract_x
_atom_site_fract_y
_atom_site_fract_z
Th1 0.0000 0.0000 0.0000
Th2 0.3333 0.6667 0.3615
Ni1 0.0000 0.0000 0.6146
Ni2 0.6667 0.3333 0.7706
B1 0.3333 0.6667 0.7741
B2 0.6667 0.3333 0.5473
```

Summary:
Offset from the most stable computed form, meV/atom: 215
Size of the total moment, μB/f.u.: 0.00
Crystal system: trigonal

An optimized crystal structure of ThNiB. Source: Alexandria via LeMat-Bulk, functional PBE-GGA.

The structure in CIF format:
```
data_ThNiB
_chemical_formula_sum 'Th1 Ni1 B1'
_cell_length_a 3.7472
_cell_length_b 3.7472
_cell_length_c 3.9870
_cell_angle_alpha 90.00
_cell_angle_beta 90.00
_cell_angle_gamma 120.00
_symmetry_space_group_name_H-M 'P -6 m 2'
_symmetry_Int_Tables_number 187
_symmetry_space_group_name_Hall 'P -6 2'
loop_
_atom_site_label
_atom_site_fract_x
_atom_site_fract_y
_atom_site_fract_z
Th1 0.0000 0.0000 0.0000
Ni1 0.6667 0.3333 0.5000
B1 0.3333 0.6667 0.5000
```

Summary:
Offset from the most stable computed form, meV/atom: 38
Size of the total moment, μB/f.u.: 0.00
Crystal system: hexagonal